1.
A plane-wave DFT calculation with PBE-GGA was carried out for an optimized crystal structure of Y7ErMg4.

Values from the calculation:
E_form	0.153	eV/atom
mass density	4.11	Mg/m³

a = 8.0632 Å, b = 8.0632 Å, c = 9.7417 Å
α = 119.56°, β = 119.56°, γ = 41.80°
Closest atoms and distances in Å follow each position.
Atoms (fractional coordinates):
Y  0.0000  0.0000  0.0000  2 Er 2.88, 2 Mg 2.98
Y  0.2475  0.2475  0.7072  4 Mg 3.06-3.24, 1 Er 3.34
Y  0.2961  0.2961  0.1203  4 Mg 3.50-3.86, 7 Y 3.50-3.82, 1 Er 3.82
Y  0.4222  0.4222  0.5788  5 Mg 3.17-3.49, 2 Y 3.41-3.46
Y  0.5778  0.5778  0.4212  5 Mg 3.17-3.49, 2 Y 3.41-3.46
Y  0.7039  0.7039  0.8797  4 Mg 3.50-3.86, 7 Y 3.50-3.82, 1 Er 3.82
Y  0.7525  0.7525  0.2928  4 Mg 3.06-3.24, 1 Er 3.34
Er  0.5000  0.5000  0.0000  2 Y 2.88
Mg  0.0418  0.0418  0.6990  4 Y 3.06-3.31, 2 Mg 3.07-3.39
Mg  0.1754  0.1754  0.3442  5 Y 2.98-3.24, 1 Mg 3.07
Mg  0.8246  0.8246  0.6558  5 Y 2.98-3.24, 1 Mg 3.07
Mg  0.9582  0.9582  0.3010  4 Y 3.06-3.31, 2 Mg 3.07-3.39

=====

2.
A plane-wave DFT calculation with PBE-GGA was carried out for an optimized crystal structure of AlAg2Ir.

Values from the calculation:
E_form	-0.195	eV/atom
mass density	11.15	Mg/m³

a = 3.0149 Å, b = 3.0149 Å, c = 7.1260 Å
α = 90.00°, β = 90.00°, γ = 90.00°
Closest atoms and distances in Å follow each position.
Atoms (fractional coordinates):
Al  0.0000  0.0000  0.0000  4 Ir 2.49
Ag  0.0000  0.0000  0.4603  8 Ag 2.91-3.01, 4 Ir 2.92
Ag  0.5000  0.5000  0.7388  4 Al 2.83, 8 Ag 2.91-3.01, 1 Ir 3.15
Ir  0.5000  0.5000  0.1806  4 Al 2.49

=====

3.
A plane-wave DFT calculation with PBE-GGA was carried out for an optimized crystal structure of LiZr5Rh6.

Values from the calculation:
E_form	-0.729	eV/atom
mass density	8.63	Mg/m³

a = 8.0196 Å, b = 8.0196 Å, c = 8.0196 Å
α = 146.39°, β = 132.69°, γ = 59.28°
Closest atoms and distances in Å follow each position.
Atoms (fractional coordinates):
Li  0.0000  0.0000  0.0000  8 Rh 2.84-2.86
Zr  0.1577  0.6577  0.5000  8 Rh 2.75-2.89
Zr  0.3327  0.3327  0.0000  8 Rh 2.81
Zr  0.5000  0.0000  0.5000  8 Rh 2.80-2.84
Zr  0.6673  0.6673  0.0000  8 Rh 2.81
Zr  0.8423  0.3423  0.5000  8 Rh 2.75-2.89
Rh  0.0851  0.8312  0.2538  7 Zr 2.81-2.89, 1 Li 2.86
Rh  0.2559  0.5000  0.7559  6 Zr 2.75-2.81, 2 Li 2.84
Rh  0.4226  0.1688  0.2538  7 Zr 2.81-2.89, 1 Li 2.86
Rh  0.5774  0.8312  0.7462  7 Zr 2.81-2.89, 1 Li 2.86
Rh  0.7441  0.5000  0.2441  6 Zr 2.75-2.81, 2 Li 2.84
Rh  0.9149  0.1688  0.7462  7 Zr 2.81-2.89, 1 Li 2.86

=====

4.
A plane-wave DFT calculation with PBE-GGA was carried out for an optimized crystal structure of PBrF2.

Values from the calculation:
raw formation energy	-0.8	kJ per mole of atoms
mass density	4.45	Mg/m³

a = 4.2829 Å, b = 4.2829 Å, c = 4.2829 Å
α = 60.00°, β = 60.00°, γ = 60.00°
Closest atoms and distances in Å follow each position.
Atoms (fractional coordinates):
P  0.0000  0.0000  0.0000  8 F 2.62
Br  0.5000  0.5000  0.5000  8 F 2.62
F  0.2500  0.2500  0.2500  4 Br 2.62, 4 P 2.62
F  0.7500  0.7500  0.7500  4 Br 2.62, 4 P 2.62

=====

no.,calculated total energy (eV/atom),M_tot (μB/f.u.),V (Å³ per atom)
1,-4.5297,0.51,29.873
2,-4.7715,0.00,16.193
3,-8.1257,0.00,17.334
4,-2.7145,0.00,13.888